This record from Alexandria describes a relaxed NiPbCl crystal. The functional is GGA-PBE.

Formation energy (no corrections) (meV per atom): -128
Excess energy over the best structure of this formula in the dataset (meV per atom): 0

Unit cell a=3.5991 b=3.5991 c=5.9546 alpha=90.00 beta=90.00 gamma=120.00
Positions (direct):
Ni: 0.0000 0.0000 0.0000
Pb: 0.3333 0.6667 0.3075
Cl: 0.6667 0.3333 0.8283

This record from Alexandria describes a relaxed CoWAu crystal. The functional is GGA-PBE.

Formation energy (meV/atom): 950
Excess energy over the best structure of this formula in the dataset (meV per atom): 723

Unit cell a=4.2311 b=4.2311 c=4.2311 alpha=60.00 beta=60.00 gamma=60.00
Positions (direct):
Co: 0.0000 0.0000 0.0000
W: 0.2500 0.2500 0.2500
Au: 0.5000 0.5000 0.5000

This record from Alexandria describes a relaxed CaCdAu crystal. The functional is GGA-PBE.

Formation energy (meV/atom): -519

Unit cell a=5.6481 b=5.6481 c=5.6481 alpha=141.29 beta=141.29 gamma=55.90
Positions (direct):
Ca: 0.0000 0.0000 0.0000
Cd: 0.3119 0.3119 0.0000
Au: 0.6639 0.6639 0.0000

This record from Alexandria describes a relaxed Th4FeBi2 crystal. The functional is GGA-PBE.

Formation energy (meV/atom): -318
Excess energy over the best structure of this formula in the dataset (meV per atom): 34

Unit cell a=6.3623 b=6.7171 c=9.7702 alpha=90.00 beta=101.23 gamma=90.00
Positions (direct):
Th: 0.1785 0.2500 0.0878
Th: 0.2523 0.5127 0.7400
Th: 0.2523 0.9873 0.7400
Th: 0.2716 0.7500 0.3893
Th: 0.7284 0.2500 0.6107
Th: 0.7477 0.0127 0.2600
Th: 0.7477 0.4873 0.2600
Th: 0.8215 0.7500 0.9122
Fe: 0.0027 0.2500 0.8276
Fe: 0.9973 0.7500 0.1724
Bi: 0.2035 0.2500 0.4349
Bi: 0.3505 0.7500 0.0530
Bi: 0.6495 0.2500 0.9470
Bi: 0.7965 0.7500 0.5651

This record from Alexandria describes a relaxed SbRu2N crystal. The functional is GGA-PBE.

Formation energy (no corrections) (meV per atom): 980
Excess energy over the best structure of this formula in the dataset (meV per atom): 761

Unit cell a=4.3098 b=4.3098 c=4.3098 alpha=60.00 beta=60.00 gamma=60.00
Positions (direct):
Sb: 0.0000 0.0000 0.0000
Ru: 0.2500 0.2500 0.2500
Ru: 0.7500 0.7500 0.7500
N: 0.5000 0.5000 0.5000

This record from Alexandria describes a relaxed K2YSi crystal. The functional is GGA-PBE.

Formation energy (no corrections) (meV per atom): -46

Unit cell a=10.8338 b=10.8338 c=10.8338 alpha=159.12 beta=157.67 gamma=30.76
Positions (direct):
K: 0.1561 0.1561 0.0000
K: 0.8439 0.8439 0.0000
Y: 0.5000 0.0000 0.5000
Si: 0.0000 0.5000 0.5000

| no. | N(E_F) (states/eV/cell) | calculated total energy (eV/atom) | volume (Å³/atom) |
| --- | --- | --- | --- |
| 1 | 2.71 | -3.91 | 22.3 |
| 2 | 3.38 | -6.83 | 17.9 |
| 3 | 0.97 | -2.58 | 23.3 |
| 4 | 14.32 | -6.88 | 29.3 |
| 5 | 3.55 | -6.77 | 14.2 |
| 6 | 1.30 | -3.57 | 43.0 |